# 1
# In3Bi2O8 PBE relaxed
# ΔE_f (raw) = -1315 meV/atom
data_In3Bi2O8
_cell_length_a 5.5213
_cell_length_b 6.5873
_cell_length_c 7.1672
_cell_angle_alpha 62.64
_cell_angle_beta 61.81
_cell_angle_gamma 90.00
_symmetry_space_group_name_H-M 'P 1'
_symmetry_Int_Tables_number 1
_symmetry_space_group_name_Hall 'P 1'
loop_
_atom_site_label
_atom_site_type_symbol
_atom_site_fract_x
_atom_site_fract_y
_atom_site_fract_z
O1 O 0.7862 0.1072 0.7857
O2 O 0.6687 0.0997 0.2452
O3 O 0.3313 0.9003 0.7548
O4 O 0.2020 0.3983 0.2034
O5 O 0.2138 0.8928 0.2143
O6 O 0.6687 0.6551 0.2452
O7 O 0.7980 0.6017 0.7966
O8 O 0.3313 0.3449 0.7548
Bi1 Bi 0.7269 0.2814 0.4372
Bi2 Bi 0.2731 0.7186 0.5628
In1 In 0.5000 0.2591 0.0000
In2 In 0.0000 0.0000 0.0000
In3 In 0.5000 0.7409 0.0000



# 2
# RbHf3Rh PBE relaxed
# Polymorph energy (0 for the lowest one) = 9.094 eV/f.u.
data_RbHf3Rh
_cell_length_a 4.8941
_cell_length_b 4.8941
_cell_length_c 4.8941
_cell_angle_alpha 90.00
_cell_angle_beta 90.00
_cell_angle_gamma 90.00
_symmetry_space_group_name_H-M 'P 1'
_symmetry_Int_Tables_number 1
_symmetry_space_group_name_Hall 'P 1'
loop_
_atom_site_label
_atom_site_type_symbol
_atom_site_fract_x
_atom_site_fract_y
_atom_site_fract_z
Hf1 Hf 0.0000 0.0000 0.5000
Hf2 Hf 0.5000 0.0000 0.0000
Hf3 Hf 0.0000 0.5000 0.0000
Rb1 Rb 0.0000 0.0000 0.0000
Rh1 Rh 0.5000 0.5000 0.5000



# 3
# Pr3ZnCu2 PBE relaxed
# Polymorph energy (0 for the lowest one) = 0.000 eV/f.u.
data_Pr3ZnCu2
_cell_length_a 3.6632
_cell_length_b 3.6632
_cell_length_c 10.9016
_cell_angle_alpha 90.00
_cell_angle_beta 90.00
_cell_angle_gamma 90.00
_symmetry_space_group_name_H-M 'P 1'
_symmetry_Int_Tables_number 1
_symmetry_space_group_name_Hall 'P 1'
loop_
_atom_site_label
_atom_site_type_symbol
_atom_site_fract_x
_atom_site_fract_y
_atom_site_fract_z
Cu1 Cu 0.5000 0.5000 0.8361
Cu2 Cu 0.5000 0.5000 0.1639
Zn1 Zn 0.5000 0.5000 0.5000
Pr1 Pr 0.0000 0.0000 0.0000
Pr2 Pr 0.0000 0.0000 0.6708
Pr3 Pr 0.0000 0.0000 0.3292



# 4
# YMn2Tc PBE relaxed
# Polymorph energy (0 for the lowest one) = 0.652 eV/f.u.
data_YMn2Tc
_cell_length_a 5.4020
_cell_length_b 5.4020
_cell_length_c 5.4020
_cell_angle_alpha 144.59
_cell_angle_beta 128.05
_cell_angle_gamma 64.45
_symmetry_space_group_name_H-M 'P 1'
_symmetry_Int_Tables_number 1
_symmetry_space_group_name_Hall 'P 1'
loop_
_atom_site_label
_atom_site_type_symbol
_atom_site_fract_x
_atom_site_fract_y
_atom_site_fract_z
Mn1 Mn 0.5316 0.5316 0.0000
Mn2 Mn 0.9684 0.9684 0.0000
Y1 Y 0.2500 0.7500 0.5000
Tc1 Tc 0.7500 0.2500 0.5000



# 5
# BeNbO PBE relaxed
# ΔE_f (raw) = -1348 meV/atom
# Polymorph energy (0 for the lowest one) = 0.376 eV/f.u.
data_BeNbO
_cell_length_a 2.6556
_cell_length_b 5.6550
_cell_length_c 4.7658
_cell_angle_alpha 90.00
_cell_angle_beta 90.00
_cell_angle_gamma 90.00
_symmetry_space_group_name_H-M 'P 1'
_symmetry_Int_Tables_number 1
_symmetry_space_group_name_Hall 'P 1'
loop_
_atom_site_label
_atom_site_type_symbol
_atom_site_fract_x
_atom_site_fract_y
_atom_site_fract_z
Nb1 Nb 0.5000 0.9253 0.0954
Nb2 Nb 0.0000 0.0747 0.5954
Be1 Be 0.5000 0.5695 0.6953
Be2 Be 0.0000 0.4305 0.1953
O1 O 0.5000 0.5419 0.0451
O2 O 0.0000 0.4581 0.5451



# 6
# PmTm2Se3 PBE relaxed
# ΔE_f (raw) = -1715 meV/atom
data_PmTm2Se3
_cell_length_a 4.0621
_cell_length_b 5.7590
_cell_length_c 7.0939
_cell_angle_alpha 113.95
_cell_angle_beta 106.64
_cell_angle_gamma 90.00
_symmetry_space_group_name_H-M 'P 1'
_symmetry_Int_Tables_number 1
_symmetry_space_group_name_Hall 'P 1'
loop_
_atom_site_label
_atom_site_type_symbol
_atom_site_fract_x
_atom_site_fract_y
_atom_site_fract_z
Se1 Se 0.1779 0.6779 0.8558
Se2 Se 0.8221 0.3221 0.1442
Se3 Se 0.5000 0.0000 0.5000
Pm1 Pm 0.5000 0.5000 0.5000
Tm1 Tm 0.1593 0.1593 0.8186
Tm2 Tm 0.8407 0.8407 0.1814



# 7
# PmSi3TcRh PBE relaxed
# ΔE_f (raw) = -475 meV/atom
data_PmSi3TcRh
_cell_length_a 5.5881
_cell_length_b 7.4987
_cell_length_c 6.7584
_cell_angle_alpha 123.69
_cell_angle_beta 90.00
_cell_angle_gamma 90.00
_symmetry_space_group_name_H-M 'P 1'
_symmetry_Int_Tables_number 1
_symmetry_space_group_name_Hall 'P 1'
loop_
_atom_site_label
_atom_site_type_symbol
_atom_site_fract_x
_atom_site_fract_y
_atom_site_fract_z
Si1 Si 0.5000 0.2500 0.0000
Si2 Si 0.7500 0.7488 0.4976
Si3 Si 0.0000 0.7500 0.0000
Si4 Si 0.0000 0.2500 0.0000
Si5 Si 0.2500 0.2512 0.5024
Si6 Si 0.5000 0.7500 0.0000
Tc1 Tc 0.7500 0.9470 0.8941
Tc2 Tc 0.2500 0.0530 0.1059
Rh1 Rh 0.7500 0.5527 0.1054
Rh2 Rh 0.2500 0.4473 0.8946
Pm1 Pm 0.2500 0.7462 0.4924
Pm2 Pm 0.7500 0.2538 0.5076



# 8
# Dy2AsS PBE relaxed
# ΔE_f (raw) = -1794 meV/atom
# Polymorph energy (0 for the lowest one) = 0.008 eV/f.u.
data_Dy2AsS
_cell_length_a 5.6793
_cell_length_b 5.6791
_cell_length_c 11.3978
_cell_angle_alpha 90.00
_cell_angle_beta 90.00
_cell_angle_gamma 90.00
_symmetry_space_group_name_H-M 'P 1'
_symmetry_Int_Tables_number 1
_symmetry_space_group_name_Hall 'P 1'
loop_
_atom_site_label
_atom_site_type_symbol
_atom_site_fract_x
_atom_site_fract_y
_atom_site_fract_z
S1 S 0.2499 0.0001 0.8750
S2 S 0.7501 0.5001 0.3750
S3 S 0.7501 0.9999 0.1250
S4 S 0.2499 0.4999 0.6250
Dy1 Dy 0.2500 0.5000 0.3748
Dy2 Dy 0.7500 0.0000 0.8748
Dy3 Dy 0.7501 0.0001 0.3752
Dy4 Dy 0.2499 0.9999 0.6248
Dy5 Dy 0.7501 0.4999 0.1248
Dy6 Dy 0.2499 0.5001 0.8752
Dy7 Dy 0.2500 0.0000 0.1252
Dy8 Dy 0.7500 0.5000 0.6252
As1 As 0.2500 0.4999 0.1250
As2 As 0.7500 0.5001 0.8750
As3 As 0.2500 0.0001 0.3750
As4 As 0.7500 0.9999 0.6250



Number 1: E -5.5949 eV per atom. Number 2: E -5.2557 eV per atom. Number 3: E -4.1504 eV per atom. Number 4: E -8.4374 eV per atom. Number 5: E -7.5995 eV per atom. Number 6: E -5.7391 eV per atom. Number 7: E -6.9315 eV per atom. Number 8: E -6.2890 eV per atom.